Material: CSeBr2F
Method: DFT, PBE-GGA
State: relaxed

a = 5.648 Å, b = 5.648 Å, c = 3.859 Å
α = 90.00°, β = 90.00°, γ = 90.00°
Space group P4/mmm (No. 123)
Unique sites:
C (0.000, 0.000, 0.000) [1 per cell]
Se (0.500, 0.500, 0.000) [1 per cell]
Br (0.000, 0.500, 0.500) [2 per cell]
F (0.500, 0.500, 0.500) [1 per cell]

Results
Uncorrected formation energy, eV/atom: 1.59
Density, g cm⁻³: 3.64
E above lowest polymorph, kJ per mole of atoms: 54.5
Electronic total energy, eV/atom: -1.9990